[1]
The following is a DFT calculation (PBE-GGA) of CaAsIr2 after structural relaxation.

abc: 7.4005 7.4005 5.9931
angles: 51.87 51.87 90.00
Element x y z (fractional)
Ca: 0.5000 0.5000 0.0000
Ca: 0.2500 0.7500 0.5000
Ir: 0.8750 0.9541 0.7500
Ir: 0.0459 0.6250 0.2500
Ir: 0.7041 0.1250 0.2500
Ir: 0.3750 0.2959 0.7500
As: 0.0000 0.0000 0.0000
As: 0.7500 0.2500 0.5000

=====

[2]
The following is a DFT calculation (PBE-GGA) of CaAsIr2 after structural relaxation.

abc: 4.6299 4.6299 4.6299
angles: 60.00 60.00 60.00
Element x y z (fractional)
Ir: 0.0000 0.0000 0.0000
Ir: 0.7500 0.7500 0.7500
Ca: 0.2500 0.2500 0.2500
As: 0.5000 0.5000 0.5000

=====

[3]
The following is a DFT calculation (PBE-GGA) of CaAs2Ir2 after structural relaxation.

abc: 5.9899 5.9877 7.3077
angles: 76.80 64.75 61.08
Element x y z (fractional)
As: 0.4973 0.7621 0.9781
As: 0.7218 0.2415 0.5421
As: 0.5027 0.2379 0.0219
As: 0.2781 0.7585 0.4579
Ca: 0.9014 0.7412 0.2173
Ca: 0.0986 0.2588 0.7827
Ir: 0.6137 0.4020 0.2296
Ir: 0.1312 0.1193 0.2249
Ir: 0.3863 0.5980 0.7704
Ir: 0.8688 0.8807 0.7751

=====

[4]
The following is a DFT calculation (PBE-GGA) of CaAs3Ir after structural relaxation.

abc: 4.9406 4.9406 4.9406
angles: 90.00 90.00 90.00
Element x y z (fractional)
As: 0.5000 0.0000 0.0000
As: 0.0000 0.5000 0.0000
As: 0.0000 0.0000 0.5000
Ir: 0.0000 0.0000 0.0000
Ca: 0.5000 0.5000 0.5000

Calculated values
Offset from the most stable computed form = 0.000 eV per atom

=====

[5]
The following is a DFT calculation (PBE-GGA) of CaAs2Ir3 after structural relaxation.

abc: 4.0355 8.4348 9.9767
angles: 106.66 90.00 103.84
Element x y z (fractional)
As: 0.6373 0.2747 0.4581
As: 0.3627 0.7253 0.5419
As: 0.4587 0.9174 0.2178
As: 0.8050 0.6099 0.8686
As: 0.1950 0.3901 0.1314
As: 0.5413 0.0826 0.7822
Ir: 0.3198 0.6396 0.0424
Ir: 0.7817 0.5634 0.6035
Ir: 0.3733 0.7467 0.7900
Ir: 0.6802 0.3604 0.9576
Ir: 0.6267 0.2533 0.2100
Ir: 0.0370 0.0740 0.3186
Ir: 0.2183 0.4366 0.3965
Ir: 0.5000 0.0000 0.5000
Ir: 0.9630 0.9260 0.6814
Ca: 0.0000 0.0000 0.0000
Ca: 0.1601 0.3202 0.7009
Ca: 0.8399 0.6798 0.2991

=====

[6]
The following is a DFT calculation (PBE-GGA) of Ca2As2Ir after structural relaxation.

abc: 4.2124 5.8429 10.2532
angles: 81.04 78.15 68.87
Element x y z (fractional)
Ca: 0.0947 0.7105 0.1001
Ca: 0.9053 0.2895 0.8999
Ca: 0.2956 0.7684 0.6403
Ca: 0.7044 0.2316 0.3597
As: 0.6245 0.8711 0.8799
As: 0.9665 0.6646 0.4024
As: 0.0335 0.3354 0.5976
As: 0.3755 0.1289 0.1201
Ir: 0.5629 0.1848 0.6894
Ir: 0.4371 0.8152 0.3106

Calculated values
Offset from the most stable computed form = 0.000 eV per atom

=====

[7]
The following is a DFT calculation (PBE-GGA) of Ca2AsIr after structural relaxation.

abc: 4.4810 4.4810 6.9445
angles: 81.08 81.08 42.33
Element x y z (fractional)
As: 0.2500 0.2500 0.2500
Ir: 0.7500 0.7500 0.7500
Ca: 0.0007 0.0007 0.9884
Ca: 0.4993 0.4993 0.5116

=====

[8]
The following is a DFT calculation (PBE-GGA) of LiCaAs2Ir after structural relaxation.

abc: 4.1376 4.1376 6.1102
angles: 109.79 109.79 90.00
Element x y z (fractional)
Li: 0.2500 0.7500 0.5000
Ir: 0.7500 0.2500 0.5000
As: 0.6219 0.6219 0.2439
As: 0.3781 0.3781 0.7561
Ca: 0.0000 0.0000 0.0000

=====

[9]
The following is a DFT calculation (PBE-GGA) of Ca2AsIrN after structural relaxation.

abc: 5.1399 5.1399 3.7539
angles: 90.00 90.00 90.00
Element x y z (fractional)
Ir: 0.0000 0.0000 0.5000
As: 0.5000 0.5000 0.5000
Ca: 0.0000 0.5000 0.0000
Ca: 0.5000 0.0000 0.0000
N: 0.0000 0.0000 0.0000

Calculated values
Raw formation energy = -3.59 eV per formula unit

=====

[10]
The following is a DFT calculation (PBE-GGA) of Ca2Ni4As3Ir after structural relaxation.

abc: 4.0353 4.0353 10.0515
angles: 90.00 90.00 90.00
Element x y z (fractional)
Ni: 0.0000 0.0000 0.0000
Ni: 0.5000 0.5000 0.0000
Ni: 0.5000 0.0000 0.6392
Ni: 0.0000 0.5000 0.3608
Ca: 0.0000 0.5000 0.7519
Ca: 0.5000 0.0000 0.2481
As: 0.5000 0.0000 0.8710
As: 0.0000 0.5000 0.1290
As: 0.0000 0.0000 0.5000
Ir: 0.5000 0.5000 0.5000

=====

[11]
The following is a DFT calculation (PBE-GGA) of Ca2Ni3As4Ir after structural relaxation.

abc: 4.1927 4.1927 9.6998
angles: 90.00 90.00 90.00
Element x y z (fractional)
Ni: 0.5000 0.0000 0.8790
Ni: 0.0000 0.0000 0.5000
Ni: 0.0000 0.5000 0.1210
As: 0.0000 0.5000 0.3619
As: 0.0000 0.0000 0.0000
As: 0.5000 0.0000 0.6381
As: 0.5000 0.5000 0.0000
Ca: 0.5000 0.0000 0.2459
Ca: 0.0000 0.5000 0.7541
Ir: 0.5000 0.5000 0.5000

=====

[12]
The following is a DFT calculation (PBE-GGA) of Ca2NiAs4Ir3 after structural relaxation.

abc: 4.2893 4.2893 9.9589
angles: 90.00 90.00 90.00
Element x y z (fractional)
Ca: 0.0000 0.5000 0.7506
Ca: 0.5000 0.0000 0.2494
As: 0.0000 0.0000 0.0000
As: 0.5000 0.0000 0.6281
As: 0.0000 0.5000 0.3719
As: 0.5000 0.5000 0.0000
Ni: 0.5000 0.5000 0.5000
Ir: 0.0000 0.5000 0.1260
Ir: 0.5000 0.0000 0.8740
Ir: 0.0000 0.0000 0.5000

=====

Which magnetization belongs to each record? In order, 0.00, 0.71, 0.00, 0.00, 0.00, 0.00, 0.00, 0.00, 0.00, 0.00, 0.00, 0.00 μB/cell.
Which VASP energy belongs to each record? In order, -6.117, -5.900, -6.217, -4.899, -6.785, -5.277, -4.626, -5.118, -5.885, -5.515, -5.520, -6.065 eV/atom.